Entry 1:
Density functional theory data (PBE) for an optimized crystal structure of K2Bi2PtRh.

The calculation puts the total energy at -4.1313 eV per atom. The formation energy from the elements is -0.240 eV/atom. The density of states at the Fermi level is 4.19 states/eV/f.u.

It has space group Ibam (No. 72), with a = 7.024 Å, b = 15.247 Å, c = 6.889 Å, α = 90.00°, β = 90.00° and γ = 90.00°. The inequivalent atoms are K at (0.240, 0.164, 0.000), Bi at (0.242, 0.417, 0.000), Pt at (0.000, 0.000, 0.250) and Rh at (0.000, 0.500, 0.250).

---

Entry 2:
Density functional theory data (PBE) for an optimized crystal structure of KBiSbPt2.

The calculation puts the total energy at -4.6259 eV per atom. As for the formation energy (no corrections): -0.39 eV/atom. The density of states at the Fermi level is 1.20 states/eV/f.u.

It has space group P2_1/m (No. 11), with a = 6.510 Å, b = 4.605 Å, c = 10.448 Å, α = 90.00°, β = 105.49° and γ = 90.00°. The inequivalent atoms are K at (0.063, 0.250, 0.280), Bi at (0.344, 0.750, 0.054), Sb at (0.334, 0.750, 0.544), Pt at (0.478, 0.250, 0.656) and Pt at (0.480, 0.750, 0.819).

---

Entry 3:
Density functional theory data (PBE) for an optimized crystal structure of K2BiSb3Pt4.

The calculation puts the total energy at -4.6939 eV per atom. As for the formation energy (no corrections): -0.43 eV/atom. The density of states at the Fermi level is 6.98 states/eV/f.u.

It has space group P-4m2 (No. 115), with a = 4.835 Å, b = 4.835 Å, c = 10.595 Å, α = 90.00°, β = 90.00° and γ = 90.00°. The inequivalent atoms are K at (0.000, 0.500, 0.243), Bi at (0.000, 0.000, 0.500), Sb at (0.000, 0.500, 0.882), Sb at (0.500, 0.500, 0.500), Pt at (0.000, 0.000, 0.000), Pt at (0.000, 0.500, 0.629) and Pt at (0.500, 0.500, 0.000).

---

Entry 4:
Density functional theory data (PBE) for an optimized crystal structure of K2TlBi2Pt.

The calculation puts the total energy at -3.3105 eV per atom. The formation energy from the elements is -0.250 eV/atom. The density of states at the Fermi level is 2.87 states/eV/f.u.

It has space group Ibam (No. 72), with a = 7.735 Å, b = 15.385 Å, c = 7.387 Å, α = 90.00°, β = 90.00° and γ = 90.00°. The inequivalent atoms are K at (0.249, 0.164, 0.000), Tl at (0.000, 0.000, 0.250), Bi at (0.196, 0.409, 0.000) and Pt at (0.000, 0.500, 0.250).

---

What did the fourth record say?
Density functional theory data (PBE) for an optimized crystal structure of K2TlBi2Pt.

The calculation puts the total energy at -3.3105 eV per atom. The formation energy from the elements is -0.250 eV/atom. The density of states at the Fermi level is 2.87 states/eV/f.u.

It has space group Ibam (No. 72), with a = 7.735 Å, b = 15.385 Å, c = 7.387 Å, α = 90.00°, β = 90.00° and γ = 90.00°. The inequivalent atoms are K at (0.249, 0.164, 0.000), Tl at (0.000, 0.000, 0.250), Bi at (0.196, 0.409, 0.000) and Pt at (0.000, 0.500, 0.250).